SnAs2Pb2: relaxed, GGA-PBE.

Computed properties:
total energy: -3.91 eV per atom
space group: No. 139
calculated volume: 148 Å³/cell
ΔE to the lowest computed polymorph: 0.153 eV per atom
formation enthalpy at 0 K: 22.43 kJ per mole of atoms
magnetic moment: 0.00 μB per atom

The structure in POSCAR format:
```
SnAs2Pb2
1.0
-1.099 4.928 -0.857
-2.579 0.194 4.420
2.894 4.086 4.476
Pb As Sn
2 2 1
direct
0.750 0.250 0.500
0.250 0.750 0.500
0.391 0.391 0.218
0.609 0.609 0.782
0.000 0.000 0.000
```

=====

Sn4As5Pb: relaxed, GGA-PBE.

Computed properties:
total energy: -4.29 eV per atom
space group: No. 187
calculated volume: 601 Å³/cell
formation enthalpy at 0 K: 0.68 kJ per mole of atoms
magnetic moment: 0.00 μB per atom

The structure in POSCAR format:
```
Sn4As5Pb
1.0
4.893 0.000 0.000
-2.447 4.238 0.000
0.000 0.000 28.993
Sn As Pb
8 10 2
direct
0.333 0.667 0.514
0.333 0.667 0.712
0.333 0.667 0.911
0.667 0.333 0.011
0.667 0.333 0.212
0.667 0.333 0.414
0.667 0.333 0.613
0.667 0.333 0.812
0.333 0.667 0.008
0.333 0.667 0.212
0.333 0.667 0.417
0.333 0.667 0.614
0.333 0.667 0.811
0.667 0.333 0.111
0.667 0.333 0.314
0.667 0.333 0.514
0.667 0.333 0.712
0.667 0.333 0.910
0.333 0.667 0.111
0.333 0.667 0.314
```

=====

Sn2AsPb: relaxed, GGA-PBE.

Computed properties:
total energy: -4.06 eV per atom
space group: No. 166
calculated volume: 113 Å³/cell
ΔE to the lowest computed polymorph: 0.000 eV per atom
formation enthalpy at 0 K: 3.39 kJ per mole of atoms
magnetic moment: 0.00 μB per atom

The structure in POSCAR format:
```
Sn2AsPb
1.0
-3.312 1.071 -1.989
-3.497 0.292 1.939
-0.712 8.291 1.611
Pb As Sn
1 1 2
direct
0.500 0.500 0.500
0.000 0.000 0.000
0.264 0.264 0.208
0.736 0.736 0.792
```

=====

SnAs2Pb2: relaxed, GGA-PBE.

Computed properties:
total energy: -4.06 eV per atom
space group: No. 127
calculated volume: 270 Å³/cell
ΔE to the lowest computed polymorph: 0.000 eV per atom
formation enthalpy at 0 K: 7.69 kJ per mole of atoms
magnetic moment: 0.00 μB per atom

The structure in POSCAR format:
```
SnAs2Pb2
1.0
8.123 0.000 0.000
0.000 8.123 0.000
0.000 0.000 4.098
Pb As Sn
4 4 2
direct
0.148 0.648 0.500
0.648 0.852 0.500
0.852 0.352 0.500
0.352 0.148 0.500
0.336 0.836 0.000
0.836 0.664 0.000
0.664 0.164 0.000
0.164 0.336 0.000
0.000 0.000 0.000
0.500 0.500 0.000
```

=====

SnAsPb3: relaxed, GGA-PBE.

Computed properties:
total energy: -3.23 eV per atom
space group: No. 221
calculated volume: 191 Å³/cell
ΔE to the lowest computed polymorph: 0.330 eV per atom
formation enthalpy at 0 K: 70.03 kJ per mole of atoms
magnetic moment: 0.00 μB per atom

The structure in POSCAR format:
```
SnAsPb3
1.0
-3.399 -0.418 -4.633
1.981 -5.322 -0.973
-4.209 -2.167 3.284
Pb As Sn
3 1 1
direct
0.000 0.500 0.000
0.000 0.000 0.500
0.500 0.000 0.000
0.500 0.500 0.500
0.000 0.000 0.000
```

=====

SnAs3Pb: relaxed, GGA-PBE.

Computed properties:
total energy: -3.69 eV per atom
space group: No. 221
calculated volume: 146 Å³/cell
ΔE to the lowest computed polymorph: 0.000 eV per atom
formation enthalpy at 0 K: 62.30 kJ per mole of atoms
magnetic moment: 0.00 μB per atom

The structure in POSCAR format:
```
SnAs3Pb
1.0
5.265 0.000 0.000
0.000 5.265 0.000
0.000 0.000 5.265
Pb As Sn
1 3 1
direct
0.500 0.500 0.500
0.000 0.500 0.000
0.000 0.000 0.500
0.500 0.000 0.000
0.000 0.000 0.000
```

=====

SnAs2Pb: relaxed, GGA-PBE.

Computed properties:
total energy: -4.25 eV per atom
space group: No. 141
calculated volume: 411 Å³/cell
formation enthalpy at 0 K: 0.00 kJ per mole of atoms
magnetic moment: 0.00 μB per atom

The structure in POSCAR format:
```
SnAs2Pb
1.0
-4.508 1.151 3.613
-3.717 -0.229 -4.564
-1.509 -11.594 1.810
Sn As Pb
4 8 4
direct
0.250 0.500 0.625
0.750 0.500 0.375
0.250 0.000 0.875
0.750 0.000 0.125
0.750 0.000 0.884
0.250 0.000 0.116
0.750 0.500 0.616
0.250 0.500 0.384
0.750 0.500 0.134
0.250 0.500 0.866
0.750 0.000 0.366
0.250 0.000 0.634
0.250 0.000 0.375
0.750 0.000 0.625
0.250 0.500 0.125
0.750 0.500 0.875
```

=====

SnAsPb: relaxed, GGA-PBE.

Computed properties:
total energy: -4.05 eV per atom
space group: No. 69
calculated volume: 353 Å³/cell
ΔE to the lowest computed polymorph: 0.073 eV per atom
formation enthalpy at 0 K: 7.23 kJ per mole of atoms
magnetic moment: 0.00 μB per atom

The structure in POSCAR format:
```
SnAsPb
1.0
-6.463 4.871 -1.065
-5.268 -6.544 2.038
2.844 4.605 3.803
Pb As Sn
4 4 4
direct
0.000 0.751 0.502
0.000 0.249 0.498
0.500 0.251 0.502
0.500 0.749 0.498
0.750 0.500 0.000
0.250 0.000 0.000
0.250 0.500 0.000
0.750 0.000 0.000
0.500 0.751 0.000
0.000 0.251 0.000
0.000 0.749 0.000
0.500 0.249 0.000
```

=====

SnAsPb: relaxed, GGA-PBE.

Computed properties:
total energy: -3.96 eV per atom
space group: No. 216
calculated volume: 92 Å³/cell
ΔE to the lowest computed polymorph: 0.156 eV per atom
formation enthalpy at 0 K: 15.20 kJ per mole of atoms
magnetic moment: 0.00 μB per atom

The structure in POSCAR format:
```
SnAsPb
1.0
5.058 0.000 0.000
2.529 4.381 0.000
2.529 1.460 4.130
Pb As Sn
1 1 1
direct
0.000 0.000 0.000
0.250 0.250 0.250
0.500 0.500 0.500
```

=====

SnAs2Pb: relaxed, GGA-PBE.

Computed properties:
total energy: -4.26 eV per atom
space group: No. 166
calculated volume: 103 Å³/cell
formation enthalpy at 0 K: -1.19 kJ per mole of atoms
magnetic moment: 0.00 μB per atom

The structure in POSCAR format:
```
SnAs2Pb
1.0
4.143 0.000 0.000
2.071 3.588 0.000
2.071 1.196 6.899
Pb As Sn
1 2 1
direct
0.500 0.500 0.500
0.257 0.257 0.228
0.743 0.743 0.772
0.000 0.000 0.000
```

=====

SnAs2Pb: relaxed, GGA-PBE.

Computed properties:
total energy: -4.18 eV per atom
space group: No. 122
calculated volume: 255 Å³/cell
formation enthalpy at 0 K: 7.35 kJ per mole of atoms
magnetic moment: 0.00 μB per atom

The structure in POSCAR format:
```
SnAs2Pb
1.0
7.119 0.000 0.000
0.000 7.119 0.000
3.560 3.560 5.033
Pb As Sn
2 4 2
direct
0.000 0.000 0.000
0.750 0.250 0.500
0.587 0.125 0.250
0.163 0.625 0.250
0.375 0.413 0.750
0.875 0.837 0.750
0.500 0.500 0.000
0.250 0.750 0.500
```

=====

SnAsPb: relaxed, GGA-PBE.

Computed properties:
total energy: -4.12 eV per atom
space group: No. 156
calculated volume: 85 Å³/cell
ΔE to the lowest computed polymorph: 0.000 eV per atom
formation enthalpy at 0 K: 0.15 kJ per mole of atoms
magnetic moment: 0.00 μB per atom

The structure in POSCAR format:
```
SnAsPb
1.0
-3.448 -0.732 2.026
3.568 -1.136 1.582
0.475 5.270 2.713
Pb As Sn
1 1 1
direct
0.000 0.000 0.973
0.333 0.667 0.642
0.667 0.333 0.385
```